No. 1
First-principles (PBE) data for PIrAu2 after structural relaxation, as listed in Alexandria via LeMat-Bulk.

The calculation puts the uncorrected energy at -5.15 eV per atom.

abc: 6.6186 2.8865 8.0715
angles: 90.00 98.56 90.00
Closest atoms and distances in Å follow each position.
Fractional coordinates of all 8 atoms:
P 0.8898 0.0000 0.0710  3 Ir 2.27-2.30, 1 Au 2.48
P 0.8898 0.5000 0.5710  3 Ir 2.27-2.30, 1 Au 2.48
Ir 0.9125 0.0000 0.7894  3 P 2.27-2.30
Ir 0.9125 0.5000 0.2894  3 P 2.27-2.30
Au 0.2717 0.0000 0.4139  5 Au 2.81-2.98, 2 Ir 2.83
Au 0.2717 0.5000 0.9139  5 Au 2.81-2.98, 2 Ir 2.83
Au 0.5421 0.0000 0.1500  1 P 2.48
Au 0.5421 0.5000 0.6500  1 P 2.48

---

No. 2
First-principles (PBE) data for MnCo2Ge4 after structural relaxation, as listed in Alexandria via LeMat-Bulk.

The calculation puts the uncorrected energy at -5.63 eV per atom.

abc: 4.5278 4.5278 6.5979
angles: 69.93 69.93 90.00
Closest atoms and distances in Å follow each position.
Fractional coordinates of all 7 atoms:
Ge 0.2032 0.2032 0.5937  1 Co 2.25, 1 Mn 2.34
Ge 0.7968 0.7968 0.4063  1 Co 2.25, 1 Mn 2.34
Ge 0.0000 0.5000 0.0000  2 Mn 2.26
Ge 0.5000 0.0000 0.0000  2 Mn 2.26
Mn 0.0000 0.0000 0.0000  6 Ge 2.26-2.34
Co 0.3983 0.3983 0.2033  1 Ge 2.25, 1 Co 2.35
Co 0.6017 0.6017 0.7967  1 Ge 2.25, 1 Co 2.35

---

No. 3
First-principles (PBE) data for CoReTe3 after structural relaxation, as listed in Alexandria via LeMat-Bulk.

The value obtained for the distance to the lowest polymorph of the same formula is 0.00 kJ/mol of atoms.

abc: 4.8763 4.8763 4.8763
angles: 90.00 90.00 90.00
Closest atoms and distances in Å follow each position.
Fractional coordinates of all 5 atoms:
Re 0.5000 0.5000 0.5000  12 Te 3.45
Te 0.0000 0.5000 0.0000  2 Co 2.44
Te 0.0000 0.0000 0.5000  2 Co 2.44
Te 0.5000 0.0000 0.0000  2 Co 2.44
Co 0.0000 0.0000 0.0000  6 Te 2.44